No. 1
# Ta2BiN

A relaxed Ta2BiN crystal (GGA-PBE, Alexandria via LeMat-Bulk). Values from VASP.

Cell and atoms, written as Quantum ESPRESSO input:
```
&SYSTEM
  ibrav = 0, nat = 4, ntyp = 3
/
ATOMIC_SPECIES
Bi 208.98 Bi.upf
N 14.01 N.upf
Ta 180.95 Ta.upf
CELL_PARAMETERS angstrom
0.0000 3.2308 3.2308
3.2308 0.0000 3.2308
3.2308 3.2308 0.0000
ATOMIC_POSITIONS crystal
Bi 0.5000 0.5000 0.5000
N 0.0000 0.0000 0.0000
Ta 0.2500 0.2500 0.2500
Ta 0.7500 0.7500 0.7500
```

Summary:
* space-group type: Fm-3m (225)
* energy relative to the elements, uncorrected: 1.07 eV per atom
* polymorph energy (0 for the lowest one): 3.720 eV/f.u.

***

No. 2
# Pr8Pt5Au

A relaxed Pr8Pt5Au crystal (GGA-PBE, Alexandria via LeMat-Bulk). Values from VASP.

Cell and atoms, written as Quantum ESPRESSO input:
```
&SYSTEM
  ibrav = 0, nat = 14, ntyp = 3
/
ATOMIC_SPECIES
Pt 195.08 Pt.upf
Pr 140.91 Pr.upf
Au 196.97 Au.upf
CELL_PARAMETERS angstrom
-5.3236 2.3589 5.3623
-3.7754 -2.3223 -6.5584
4.2301 -6.0568 2.8427
ATOMIC_POSITIONS crystal
Pt 0.3736 0.1215 0.9946
Pt 0.5000 0.0000 0.5000
Pt 0.7479 0.6210 0.6264
Pt 0.8731 0.8785 0.2521
Pt 0.0054 0.3790 0.1269
Pr 0.1209 0.7565 0.0016
Pr 0.1256 0.7549 0.4927
Pr 0.9984 0.1192 0.7549
Pr 0.5073 0.6330 0.2622
Pr 0.6356 0.8808 0.8791
Pr 0.6292 0.3670 0.8744
Pr 0.7378 0.2451 0.3708
Pr 0.2451 0.2435 0.3644
Au 0.2500 0.5000 0.7500
```

Summary:
* space-group type: I-4 (82)
* energy of formation: -0.887 eV/atom

***

No. 3
# MgW2Br

A relaxed MgW2Br crystal (GGA-PBE, Alexandria via LeMat-Bulk). Values from VASP.

Cell and atoms, written as Quantum ESPRESSO input:
```
&SYSTEM
  ibrav = 0, nat = 4, ntyp = 3
/
ATOMIC_SPECIES
Mg 24.30 Mg.upf
W 183.84 W.upf
Br 79.90 Br.upf
CELL_PARAMETERS angstrom
4.6608 -0.0613 0.0000
0.2267 4.6557 0.0000
-2.4437 -2.2972 3.2369
ATOMIC_POSITIONS crystal
Mg 0.7500 0.2500 0.5000
W 0.0000 0.0000 0.0000
W 0.2500 0.7500 0.5000
Br 0.5000 0.5000 0.0000
```

Summary:
* space-group type: I-4m2 (119)
* energy relative to the elements, uncorrected: 1.00 eV per atom
* polymorph energy (0 for the lowest one): 2.847 eV/f.u.

***

No. 4
# KCa2HoBr8

A relaxed KCa2HoBr8 crystal (GGA-PBE, Alexandria via LeMat-Bulk). Values from VASP.

Cell and atoms, written as Quantum ESPRESSO input:
```
&SYSTEM
  ibrav = 0, nat = 12, ntyp = 4
/
ATOMIC_SPECIES
Br 79.90 Br.upf
Ca 40.08 Ca.upf
K 39.10 K.upf
Ho 164.93 Ho.upf
CELL_PARAMETERS angstrom
-4.8325 -5.1112 -0.1997
1.0701 -1.3311 6.4636
-6.4041 5.9642 2.2900
ATOMIC_POSITIONS crystal
Br 0.1653 0.7614 0.2172
Br 0.6298 0.7309 0.5000
Br 0.3702 0.2691 0.5000
Br 0.8346 0.2385 0.2172
Br 0.8347 0.2386 0.7828
Br 0.3264 0.2586 0.0000
Br 0.1654 0.7615 0.7828
Br 0.6736 0.7414 0.0000
Ca 0.5000 0.5000 0.7493
Ca 0.5000 0.5000 0.2507
K 0.0000 0.0000 0.5000
Ho 0.0000 0.0000 0.0000
```

Summary:
* space-group type: P2/m (10)
* energy relative to the elements, uncorrected: -1.90 eV per atom

***

No. 5
# Zn2RuCl

A relaxed Zn2RuCl crystal (GGA-PBE, Alexandria via LeMat-Bulk). Values from VASP.

Cell and atoms, written as Quantum ESPRESSO input:
```
&SYSTEM
  ibrav = 0, nat = 8, ntyp = 3
/
ATOMIC_SPECIES
Zn 65.41 Zn.upf
Cl 35.45 Cl.upf
Ru 101.07 Ru.upf
CELL_PARAMETERS angstrom
7.1885 0.0000 0.0000
0.0000 7.1885 0.0000
3.5943 3.5943 2.6002
ATOMIC_POSITIONS crystal
Zn 0.8750 0.8827 0.7500
Zn 0.1173 0.6250 0.2500
Zn 0.3750 0.3673 0.7500
Zn 0.6327 0.1250 0.2500
Cl 0.2500 0.7500 0.5000
Cl 0.5000 0.5000 0.0000
Ru 0.7500 0.2500 0.5000
Ru 0.0000 0.0000 0.0000
```

Summary:
* space-group type: I-42d (122)
* energy relative to the elements, uncorrected: 0.38 eV per atom
* polymorph energy (0 for the lowest one): 1.780 eV/f.u.

***

No. 6
# Cd2InF6

A relaxed Cd2InF6 crystal (GGA-PBE, Alexandria via LeMat-Bulk). Values from VASP.

Cell and atoms, written as Quantum ESPRESSO input:
```
&SYSTEM
  ibrav = 0, nat = 18, ntyp = 3
/
ATOMIC_SPECIES
Cd 112.41 Cd.upf
F 19.00 F.upf
In 114.82 In.upf
CELL_PARAMETERS angstrom
-3.7589 0.8801 3.5615
2.6596 -2.8585 3.5133
5.1482 8.7966 3.2598
ATOMIC_POSITIONS crystal
Cd 0.5000 0.5000 0.1661
Cd 0.0000 0.0000 0.6661
Cd 0.0000 0.0000 0.3339
Cd 0.5000 0.5000 0.8339
F 0.7038 0.7038 0.0000
F 0.1900 0.8100 0.8407
F 0.6900 0.6900 0.6593
F 0.7962 0.2038 0.5000
F 0.3100 0.3100 0.6593
F 0.1900 0.8100 0.1593
F 0.3100 0.3100 0.3407
F 0.2962 0.2962 0.0000
F 0.8100 0.1900 0.8407
F 0.8100 0.1900 0.1593
F 0.6900 0.6900 0.3407
F 0.2038 0.7962 0.5000
In 0.0000 0.0000 0.0000
In 0.5000 0.5000 0.5000
```

Summary:
* space-group type: P4_2/mnm (136)
* energy relative to the elements, uncorrected: -2.18 eV per atom

***

No. 7
# La7Pr3Nd2

A relaxed La7Pr3Nd2 crystal (GGA-PBE, Alexandria via LeMat-Bulk). Values from VASP.

Cell and atoms, written as Quantum ESPRESSO input:
```
&SYSTEM
  ibrav = 0, nat = 12, ntyp = 3
/
ATOMIC_SPECIES
La 138.91 La.upf
Pr 140.91 Pr.upf
Nd 144.24 Nd.upf
CELL_PARAMETERS angstrom
-0.7253 -1.0817 -3.4008
4.5057 -4.8430 0.5795
-9.5466 -14.6288 6.6890
ATOMIC_POSITIONS crystal
La 0.5000 0.7688 0.4920
La 0.5000 0.9488 0.8304
La 0.5000 0.0512 0.1696
La 0.0000 0.0000 0.0000
La 0.5000 0.2312 0.5080
La 0.0000 0.5586 0.1667
La 0.0000 0.4414 0.8333
Pr 0.5000 0.5000 0.0000
Pr 0.0000 0.1156 0.3362
Pr 0.0000 0.8844 0.6638
Nd 0.5000 0.6073 0.3315
Nd 0.5000 0.3927 0.6685
```

Summary:
* space-group type: P2/m (10)
* energy of formation: 0.057 eV/atom
* polymorph energy (0 for the lowest one): 0.000 eV/f.u.

***

No. 8
# Ac5Al2Cd

A relaxed Ac5Al2Cd crystal (GGA-PBE, Alexandria via LeMat-Bulk). Values from VASP.

Cell and atoms, written as Quantum ESPRESSO input:
```
&SYSTEM
  ibrav = 0, nat = 16, ntyp = 3
/
ATOMIC_SPECIES
Ac 227.00 Ac.upf
Al 26.98 Al.upf
Cd 112.41 Cd.upf
CELL_PARAMETERS angstrom
7.5094 0.0000 -3.5448
-1.6733 7.3206 -3.5448
0.2449 0.3072 10.2451
ATOMIC_POSITIONS crystal
Ac 0.8184 0.9714 0.2898
Ac 0.0000 0.0000 0.0000
Ac 0.9714 0.4714 0.2898
Ac 0.5286 0.6816 0.7102
Ac 0.6816 0.1816 0.7102
Ac 0.5000 0.5000 0.0000
Ac 0.1816 0.0286 0.7102
Ac 0.4714 0.3184 0.2898
Ac 0.3184 0.8184 0.2898
Ac 0.0286 0.5286 0.7102
Al 0.8872 0.6128 0.0000
Al 0.6128 0.1128 0.0000
Al 0.1128 0.3872 0.0000
Al 0.3872 0.8872 0.0000
Cd 0.7500 0.7500 0.5000
Cd 0.2500 0.2500 0.5000
```

Summary:
* space-group type: I4/mcm (140)
* energy of formation: -0.210 eV/atom

***

No. 9
# Lu2ThPt

A relaxed Lu2ThPt crystal (GGA-PBE, Alexandria via LeMat-Bulk). Values from VASP.

Cell and atoms, written as Quantum ESPRESSO input:
```
&SYSTEM
  ibrav = 0, nat = 4, ntyp = 3
/
ATOMIC_SPECIES
Lu 174.97 Lu.upf
Pt 195.08 Pt.upf
Th 232.04 Th.upf
CELL_PARAMETERS angstrom
3.7164 0.0000 0.0000
1.8582 3.2185 0.0000
1.8582 1.0728 9.3737
ATOMIC_POSITIONS crystal
Lu 0.7286 0.7286 0.8143
Lu 0.2714 0.2714 0.1857
Pt 0.0000 0.0000 0.0000
Th 0.5000 0.5000 0.5000
```

Summary:
* space-group type: R-3m (166)
* energy of formation: -0.496 eV/atom
* polymorph energy (0 for the lowest one): 0.607 eV/f.u.

***

No. 10
# SmVSb3

A relaxed SmVSb3 crystal (GGA-PBE, Alexandria via LeMat-Bulk). Values from VASP.

Cell and atoms, written as Quantum ESPRESSO input:
```
&SYSTEM
  ibrav = 0, nat = 20, ntyp = 3
/
ATOMIC_SPECIES
Sb 121.76 Sb.upf
Sm 150.36 Sm.upf
V 50.94 V.upf
CELL_PARAMETERS angstrom
5.9895 0.0000 0.0000
0.0000 6.3258 0.0000
0.0000 0.0000 13.0156
ATOMIC_POSITIONS crystal
Sb 0.2500 0.6040 0.0658
Sb 0.2500 0.4962 0.7780
Sb 0.2500 0.1040 0.9342
Sb 0.7500 0.0038 0.7780
Sb 0.7500 0.8960 0.0658
Sb 0.7500 0.5038 0.2220
Sb 0.5000 0.7500 0.5014
Sb 0.2500 0.9962 0.2220
Sb 0.5000 0.2500 0.4986
Sb 0.7500 0.3960 0.9342
Sb 0.0000 0.2500 0.4986
Sb 0.0000 0.7500 0.5014
Sm 0.7500 0.9977 0.3110
Sm 0.7500 0.4977 0.6890
Sm 0.2500 0.5023 0.3110
Sm 0.2500 0.0023 0.6890
V 0.5000 0.7500 0.9033
V 0.5000 0.2500 0.0967
V 0.0000 0.2500 0.0967
V 0.0000 0.7500 0.9033
```

Summary:
* space-group type: Pbcm (57)
* energy relative to the elements, uncorrected: -0.53 eV per atom
* polymorph energy (0 for the lowest one): 0.000 eV/f.u.

***

No. 11
# LiScCl

A relaxed LiScCl crystal (GGA-PBE, Alexandria via LeMat-Bulk). Values from VASP.

Cell and atoms, written as Quantum ESPRESSO input:
```
&SYSTEM
  ibrav = 0, nat = 3, ntyp = 3
/
ATOMIC_SPECIES
Li 6.94 Li.upf
Cl 35.45 Cl.upf
Sc 44.96 Sc.upf
CELL_PARAMETERS angstrom
4.6401 0.0000 0.0000
2.3201 4.0185 0.0000
2.3201 1.3395 3.7887
ATOMIC_POSITIONS crystal
Li 0.5000 0.5000 0.5000
Cl 0.0000 0.0000 0.0000
Sc 0.7500 0.7500 0.7500
```

Summary:
* space-group type: F-43m (216)
* energy relative to the elements, uncorrected: 0.02 eV per atom
* polymorph energy (0 for the lowest one): 2.560 eV/f.u.

***

No. 12
# KInW2

A relaxed KInW2 crystal (GGA-PBE, Alexandria via LeMat-Bulk). Values from VASP.

Cell and atoms, written as Quantum ESPRESSO input:
```
&SYSTEM
  ibrav = 0, nat = 4, ntyp = 3
/
ATOMIC_SPECIES
K 39.10 K.upf
W 183.84 W.upf
In 114.82 In.upf
CELL_PARAMETERS angstrom
2.7995 0.0000 0.0000
0.0000 2.7995 0.0000
0.0000 0.0000 10.6678
ATOMIC_POSITIONS crystal
K 0.5000 0.5000 0.7475
W 0.0000 0.0000 0.0393
W 0.5000 0.5000 0.2473
In 0.0000 0.0000 0.4659
```

Summary:
* space-group type: P4mm (99)
* energy of formation: 0.872 eV/atom

***

no.,total DFT energy (no corrections) (eV per atom)
1,-7.908
2,-6.010
3,-6.297
4,-3.825
5,-3.041
6,-3.934
7,-4.807
8,-3.828
9,-6.122
10,-5.775
11,-3.343
12,-6.564